#w
First-principles (PBEsol) data for a relaxed Mg3MoN4 crystal, as listed in Alexandria via LeMat-Bulk.

Lattice parameters (Å, degrees): 5.735 5.735 6.039 90.24 90.24 76.89
Fractional coordinates of all 16 atoms:
Mg (0.114, 0.114, 0.324)
Mg (0.148, 0.614, 0.168)
Mg (0.386, 0.852, 0.832)
Mg (0.614, 0.148, 0.168)
Mg (0.852, 0.386, 0.832)
Mg (0.886, 0.886, 0.676)
Mo (0.335, 0.335, 0.669)
Mo (0.665, 0.665, 0.331)
N (0.126, 0.126, 0.680)
N (0.151, 0.601, 0.820)
N (0.360, 0.360, 0.366)
N (0.399, 0.849, 0.180)
N (0.601, 0.151, 0.820)
N (0.640, 0.640, 0.634)
N (0.849, 0.399, 0.180)
N (0.874, 0.874, 0.320)

Properties
symmetry = C2/m, No. 12
magnetic moment = 0.0 μB per formula unit
DOS(E_F) = 0.000 states/eV per atom

***

#x
First-principles (PBEsol) data for a relaxed Mg3MoN4 crystal, as listed in Alexandria via LeMat-Bulk.

Lattice parameters (Å, degrees): 6.732 5.821 5.206 90.00 90.00 90.00
Fractional coordinates of all 16 atoms:
Mg (0.000, 0.161, 0.000)
Mg (0.248, 0.331, 0.501)
Mg (0.252, 0.669, 0.001)
Mg (0.500, 0.839, 0.500)
Mg (0.748, 0.669, 0.001)
Mg (0.752, 0.331, 0.501)
Mo (0.000, 0.829, 0.510)
Mo (0.500, 0.171, 0.010)
N (0.000, 0.134, 0.405)
N (0.000, 0.827, 0.863)
N (0.230, 0.678, 0.404)
N (0.270, 0.322, 0.904)
N (0.500, 0.173, 0.363)
N (0.500, 0.866, 0.905)
N (0.730, 0.322, 0.904)
N (0.770, 0.678, 0.404)

Properties
symmetry = Pmn2_1, No. 31
magnetic moment = 0.0 μB per formula unit
DOS(E_F) = 0.000 states/eV per atom

***

Which is the most stable structure? #x is the most stable.

***

#w
First-principles (PBEsol) data for a relaxed Mg2MoOs crystal, as listed in Alexandria via LeMat-Bulk.

Lattice parameters (Å, degrees): 5.310 5.310 2.669 97.83 97.83 119.64
Fractional coordinates of all 4 atoms:
Mg (0.000, 0.500, 0.000)
Mg (0.500, 0.000, 0.000)
Mo (0.000, 0.000, 0.500)
Os (0.500, 0.500, 0.500)

Properties
symmetry = C2/m, No. 12
magnetic moment = 0.0 μB per formula unit
DOS(E_F) = 0.655 states/eV per atom

***

#x
First-principles (PBEsol) data for a relaxed Mg2MoOs crystal, as listed in Alexandria via LeMat-Bulk.

Lattice parameters (Å, degrees): 3.061 3.061 7.222 90.00 90.00 90.00
Fractional coordinates of all 4 atoms:
Mg (0.000, 0.000, 0.000)
Mg (0.500, 0.500, 0.304)
Mo (0.000, 0.000, 0.565)
Os (0.500, 0.500, 0.757)

Properties
symmetry = P4mm, No. 99
magnetic moment = 0.0 μB per formula unit
DOS(E_F) = 0.356 states/eV per atom

***

#y
First-principles (PBEsol) data for a relaxed Mg2MoOs crystal, as listed in Alexandria via LeMat-Bulk.

Lattice parameters (Å, degrees): 4.430 4.430 4.430 60.00 60.00 60.00
Fractional coordinates of all 4 atoms:
Mg (0.000, 0.000, 0.000)
Mg (0.250, 0.250, 0.250)
Mo (0.500, 0.500, 0.500)
Os (0.750, 0.750, 0.750)

Properties
symmetry = F-43m, No. 216
magnetic moment = 0.0 μB per formula unit
DOS(E_F) = 0.111 states/eV per atom

***

Which is the most stable structure? #x is the most stable.

***

#w
First-principles (PBEsol) data for a relaxed Mg2MoOs crystal, as listed in Alexandria via LeMat-Bulk.

Lattice parameters (Å, degrees): 2.682 4.566 5.283 90.00 103.41 90.00
Fractional coordinates of all 4 atoms:
Mg (0.224, 0.000, 0.254)
Mg (0.776, 0.000, 0.746)
Mo (0.500, 0.500, 0.000)
Os (0.000, 0.500, 0.500)

Properties
symmetry = P2/m, No. 10
magnetic moment = 0.0 μB per formula unit
DOS(E_F) = 0.697 states/eV per atom

***

#x
First-principles (PBEsol) data for a relaxed Mg2MoOs crystal, as listed in Alexandria via LeMat-Bulk.

Lattice parameters (Å, degrees): 2.710 2.710 9.233 90.00 90.00 111.22
Fractional coordinates of all 4 atoms:
Mg (0.000, 0.000, 0.240)
Mg (0.000, 0.000, 0.760)
Mo (0.500, 0.500, 0.500)
Os (0.500, 0.500, 0.000)

Properties
symmetry = Cmmm, No. 65
magnetic moment = 0.0 μB per formula unit
DOS(E_F) = 0.885 states/eV per atom

***

Which is the most stable structure? #w is the most stable.

***

#w
First-principles (PBEsol) data for a relaxed MgMoRu crystal, as listed in Alexandria via LeMat-Bulk.

Lattice parameters (Å, degrees): 4.214 4.214 4.214 60.00 60.00 60.00
Fractional coordinates of all 3 atoms:
Mg (0.000, 0.000, 0.000)
Mo (0.750, 0.750, 0.750)
Ru (0.500, 0.500, 0.500)

Properties
symmetry = F-43m, No. 216
magnetic moment = 0.0 μB per formula unit
DOS(E_F) = 1.030 states/eV per atom

***

#x
First-principles (PBEsol) data for a relaxed MgMoRu crystal, as listed in Alexandria via LeMat-Bulk.

Lattice parameters (Å, degrees): 7.175 6.973 2.713 83.16 74.79 22.05
Fractional coordinates of all 3 atoms:
Mg (0.000, 0.000, 0.000)
Mo (0.680, 0.680, 0.320)
Ru (0.334, 0.334, 0.666)

Properties
symmetry = Fmm2, No. 42
magnetic moment = 0.0 μB per formula unit
DOS(E_F) = 1.010 states/eV per atom

***

#y
First-principles (PBEsol) data for a relaxed MgMoRu crystal, as listed in Alexandria via LeMat-Bulk.

Lattice parameters (Å, degrees): 4.347 4.347 2.759 90.00 90.00 120.00
Fractional coordinates of all 3 atoms:
Mg (0.000, 0.000, 0.000)
Mo (0.333, 0.667, 0.404)
Ru (0.667, 0.333, 0.635)

Properties
symmetry = P3m1, No. 156
magnetic moment = 0.0 μB per formula unit
DOS(E_F) = 1.002 states/eV per atom

***

Which is the most stable structure? #y is the most stable.

***

#w
First-principles (PBEsol) data for a relaxed MgSbMo2 crystal, as listed in Alexandria via LeMat-Bulk.

Lattice parameters (Å, degrees): 5.207 5.207 5.207 135.60 135.60 64.60
Fractional coordinates of all 4 atoms:
Mg (0.000, 0.000, 0.000)
Sb (0.500, 0.500, 0.000)
Mo (0.250, 0.750, 0.500)
Mo (0.750, 0.250, 0.500)

Properties
symmetry = I4/mmm, No. 139
magnetic moment = 0.0 μB per formula unit
DOS(E_F) = 0.840 states/eV per atom

***

#x
First-principles (PBEsol) data for a relaxed MgSbMo2 crystal, as listed in Alexandria via LeMat-Bulk.

Lattice parameters (Å, degrees): 5.007 5.007 4.607 103.14 103.14 38.26
Fractional coordinates of all 4 atoms:
Mg (0.000, 0.000, 0.000)
Sb (0.500, 0.500, 0.500)
Mo (0.249, 0.249, 0.773)
Mo (0.751, 0.751, 0.227)

Properties
symmetry = C2/m, No. 12
magnetic moment = 0.0 μB per formula unit
DOS(E_F) = 0.546 states/eV per atom

***

#y
First-principles (PBEsol) data for a relaxed MgSbMo2 crystal, as listed in Alexandria via LeMat-Bulk.

Lattice parameters (Å, degrees): 2.902 2.902 8.919 90.00 90.00 109.00
Fractional coordinates of all 4 atoms:
Mg (0.000, 0.000, 0.000)
Sb (0.000, 0.000, 0.500)
Mo (0.500, 0.500, 0.259)
Mo (0.500, 0.500, 0.741)

Properties
symmetry = Cmmm, No. 65
magnetic moment = 0.0 μB per formula unit
DOS(E_F) = 0.681 states/eV per atom

***

Which is the most stable structure? #x is the most stable.

***

#w
First-principles (PBEsol) data for a relaxed Mg2TcMo crystal, as listed in Alexandria via LeMat-Bulk.

Lattice parameters (Å, degrees): 3.135 3.135 7.031 90.00 90.00 90.00
Fractional coordinates of all 4 atoms:
Mg (0.000, 0.000, 0.000)
Mg (0.500, 0.500, 0.303)
Tc (0.500, 0.500, 0.746)
Mo (0.000, 0.000, 0.569)

Properties
symmetry = P4mm, No. 99
magnetic moment = 0.0 μB per formula unit
DOS(E_F) = 0.652 states/eV per atom

***

#x
First-principles (PBEsol) data for a relaxed Mg2TcMo crystal, as listed in Alexandria via LeMat-Bulk.

Lattice parameters (Å, degrees): 2.668 4.610 5.320 90.00 102.79 90.00
Fractional coordinates of all 4 atoms:
Mg (0.032, 0.000, 0.254)
Mg (0.968, 0.000, 0.746)
Tc (0.500, 0.500, 0.500)
Mo (0.500, 0.500, 0.000)

Properties
symmetry = P2/m, No. 10
magnetic moment = 0.0 μB per formula unit
DOS(E_F) = 0.669 states/eV per atom

***

#y
First-principles (PBEsol) data for a relaxed Mg2TcMo crystal, as listed in Alexandria via LeMat-Bulk.

Lattice parameters (Å, degrees): 4.461 4.461 4.461 60.00 60.00 60.00
Fractional coordinates of all 4 atoms:
Mg (0.000, 0.000, 0.000)
Mg (0.250, 0.250, 0.250)
Tc (0.500, 0.500, 0.500)
Mo (0.750, 0.750, 0.750)

Properties
symmetry = F-43m, No. 216
magnetic moment = 0.0 μB per formula unit
DOS(E_F) = 0.824 states/eV per atom

***

Which is the most stable structure? #w is the most stable.